# 1
Entry from Alexandria: a relaxed Sr3Zn3Pt crystal (GGA-PBE).

- DOS(E_F): 8.8 states/eV/cell
- V: 389.04 Å³/cell
- Formation energy from the elements: -0.430 eV per atom
- ρ: 5.58 Mg/m³

abc: 4.4412 6.2055 15.3114
angles: 83.55 81.66 69.03
Last column: nearest neighbours and their distance in Å.
Fractional positions:
Sr: 0.4760 0.6586 0.3893  3 Pt 3.28-3.39, 7 Zn 3.32-3.65
Sr: 0.5240 0.3414 0.6107  3 Pt 3.28-3.39, 7 Zn 3.32-3.65
Sr: 0.2500 0.2580 0.2421  6 Zn 3.20-3.49, 2 Pt 3.22
Sr: 0.3909 0.2973 0.9209  7 Zn 3.25-3.42
Sr: 0.6091 0.7027 0.0791  7 Zn 3.25-3.42
Sr: 0.7500 0.7420 0.7579  6 Zn 3.20-3.49, 2 Pt 3.22
Pt: 0.7705 0.0754 0.3835  4 Zn 2.63-2.69
Pt: 0.2295 0.9246 0.6165  4 Zn 2.63-2.69
Zn: 0.9517 0.8606 0.2360  1 Pt 2.63, 1 Zn 2.70
Zn: 0.8243 0.8147 0.5367  3 Pt 2.63-2.69
Zn: 0.0962 0.8870 0.9207  2 Zn 2.70-2.81
Zn: 0.1757 0.1853 0.4633  3 Pt 2.63-2.69
Zn: 0.9038 0.1130 0.0793  2 Zn 2.70-2.81
Zn: 0.0483 0.1394 0.7640  1 Pt 2.63, 1 Zn 2.70

# 2
Entry from Alexandria: a relaxed SrZn3Pt crystal (GGA-PBE).

- DOS(E_F): 1.0 states/eV/cell
- V: 116.83 Å³/cell
- Formation energy from the elements: -0.399 eV per atom
- ρ: 6.81 Mg/m³

abc: 4.8886 4.8886 4.8886
angles: 90.00 90.00 90.00
Last column: nearest neighbours and their distance in Å.
Fractional positions:
Zn: 0.0000 0.5000 0.0000  2 Pt 2.44
Zn: 0.0000 0.0000 0.5000  2 Pt 2.44
Zn: 0.5000 0.0000 0.0000  2 Pt 2.44
Sr: 0.5000 0.5000 0.5000  12 Zn 3.46
Pt: 0.0000 0.0000 0.0000  6 Zn 2.44

# 3
Entry from Alexandria: a relaxed Sr3Zn4Pt4 crystal (GGA-PBE).

- DOS(E_F): 4.8 states/eV/cell
- V: 246.35 Å³/cell
- Formation energy from the elements: -0.700 eV per atom
- ρ: 8.80 Mg/m³

abc: 4.3504 4.2647 13.6308
angles: 99.01 99.39 89.95
Last column: nearest neighbours and their distance in Å.
Fractional positions:
Pt: 0.5496 0.5489 0.1013  2 Zn 2.53, 1 Pt 2.69
Pt: 0.8050 0.3039 0.6095  5 Zn 2.55-2.61
Pt: 0.1950 0.6961 0.3905  5 Zn 2.55-2.61
Pt: 0.4504 0.4511 0.8987  2 Zn 2.53, 1 Pt 2.69
Sr: 0.3530 0.8530 0.7056  6 Pt 3.29-3.34, 8 Zn 3.30-3.51
Sr: 0.0000 0.0000 0.0000  8 Pt 3.32-3.34, 4 Zn 3.39
Sr: 0.6470 0.1470 0.2944  6 Pt 3.29-3.34, 8 Zn 3.30-3.51
Zn: 0.0991 0.5985 0.1985  3 Pt 2.53-2.55
Zn: 0.9009 0.4015 0.8015  3 Pt 2.53-2.55
Zn: 0.2497 0.2510 0.5010  4 Pt 2.59-2.61
Zn: 0.7503 0.7490 0.4990  4 Pt 2.59-2.61

# 4
Entry from Alexandria: a relaxed SrZn3Pt crystal (GGA-PBE).

- DOS(E_F): 1.7 states/eV/cell
- V: 185.09 Å³/cell
- Formation energy from the elements: 1.310 eV per atom
- ρ: 4.30 Mg/m³

abc: 5.6989 5.6989 5.6989
angles: 90.00 90.00 90.00
Last column: nearest neighbours and their distance in Å.
Fractional positions:
Zn: 0.0000 0.5000 0.0000  2 Sr 2.85
Zn: 0.5000 0.0000 0.0000  2 Sr 2.85
Zn: 0.0000 0.0000 0.5000  2 Sr 2.85
Pt: 0.5000 0.5000 0.5000  12 Zn 4.03
Sr: 0.0000 0.0000 0.0000  6 Zn 2.85

# 5
Entry from Alexandria: a relaxed Sr8Zn2Pt crystal (GGA-PBE).

- DOS(E_F): 13.4 states/eV/cell
- V: 422.23 Å³/cell
- Formation energy from the elements: -0.194 eV per atom
- ρ: 4.04 Mg/m³

abc: 5.6452 7.5714 10.5974
angles: 104.20 105.45 90.00
Last column: nearest neighbours and their distance in Å.
Fractional positions:
Zn: 0.8100 0.2618 0.6199  7 Sr 3.34-3.52
Zn: 0.1900 0.7382 0.3801  7 Sr 3.34-3.52
Sr: 0.5880 0.4142 0.1759  1 Pt 3.19
Sr: 0.2143 0.3189 0.4286  3 Zn 3.34-3.52
Sr: 0.3462 0.0339 0.6923  1 Pt 3.22, 3 Zn 3.40-3.48
Sr: 0.4120 0.5858 0.8241  1 Pt 3.19
Sr: 0.9671 0.1976 0.9343  2 Pt 3.34, 1 Zn 3.37, 1 Sr 3.58
Sr: 0.6538 0.9661 0.3077  1 Pt 3.22, 3 Zn 3.40-3.48
Sr: 0.0329 0.8024 0.0657  2 Pt 3.34, 1 Zn 3.37, 1 Sr 3.58
Sr: 0.7857 0.6811 0.5714  3 Zn 3.34-3.52
Pt: 0.5000 0.0000 0.0000  8 Sr 3.19-3.34

# 6
Entry from Alexandria: a relaxed Sr2Zn2Pt crystal (GGA-PBE).

- DOS(E_F): 1.3 states/eV/cell
- V: 131.67 Å³/cell
- Formation energy from the elements: -0.352 eV per atom
- ρ: 6.32 Mg/m³

abc: 3.7447 3.7447 9.7560
angles: 78.94 78.94 90.00
Last column: nearest neighbours and their distance in Å.
Fractional positions:
Zn: 0.7500 0.2500 0.5000  4 Zn 2.65
Zn: 0.2500 0.7500 0.5000  4 Zn 2.65
Sr: 0.5941 0.5941 0.8118  4 Pt 3.18, 4 Zn 3.48, 1 Sr 3.53
Sr: 0.4059 0.4059 0.1882  4 Pt 3.18, 4 Zn 3.48, 1 Sr 3.53
Pt: 0.0000 0.0000 0.0000  8 Sr 3.18

# 7
Entry from Alexandria: a relaxed Sr4ZnPt2 crystal (GGA-PBE).

- DOS(E_F): 6.1 states/eV/cell
- V: 453.77 Å³/cell
- Formation energy from the elements: -0.590 eV per atom
- ρ: 5.90 Mg/m³

abc: 7.7181 7.7182 8.4070
angles: 105.35 105.35 73.77
Last column: nearest neighbours and their distance in Å.
Fractional positions:
Pt: 0.4513 0.9271 0.6212  1 Zn 2.66, 1 Pt 2.96
Pt: 0.3346 0.3346 0.6956  2 Pt 2.96, 7 Sr 3.09-3.18
Pt: 0.3395 0.3394 0.1972  7 Sr 3.07-3.34
Pt: 0.9271 0.4513 0.6212  1 Zn 2.66, 1 Pt 2.96
Zn: 0.8168 0.8168 0.6831  2 Pt 2.66
Zn: 0.8336 0.8336 0.1949  7 Sr 3.26-3.50
Sr: 0.6123 0.6123 0.3380  3 Pt 3.15-3.18, 2 Zn 3.15-3.33
Sr: 0.6383 0.1661 0.4787  4 Pt 3.13-3.34, 2 Zn 3.32-3.35
Sr: 0.1661 0.6383 0.4786  4 Pt 3.13-3.34, 2 Zn 3.32-3.35
Sr: 0.1458 0.6188 0.9700  3 Pt 3.07-3.12, 2 Zn 3.26-3.34
Sr: 0.1338 0.1338 0.3490  4 Pt 3.14-3.25, 1 Zn 3.50
Sr: 0.1243 0.1243 0.8297  4 Pt 3.15-3.34
Sr: 0.6189 0.1459 0.9700  3 Pt 3.07-3.12, 2 Zn 3.26-3.34
Sr: 0.6076 0.6076 0.8229  3 Pt 3.14-3.18, 2 Zn 3.17-3.43

# 8
Entry from Alexandria: a relaxed Sr8Zn2Pt crystal (GGA-PBE).

- DOS(E_F): 11.1 states/eV/cell
- V: 491.68 Å³/cell
- Formation energy from the elements: -0.216 eV per atom
- ρ: 3.47 Mg/m³

abc: 8.1123 8.2422 8.4014
angles: 91.65 118.87 90.00
Last column: nearest neighbours and their distance in Å.
Fractional positions:
Sr: 0.2959 0.6102 0.5919  1 Zn 3.26
Sr: 0.8023 0.8855 0.6047  1 Pt 3.03, 1 Zn 3.29
Sr: 0.7056 0.2461 0.9121  1 Pt 2.96, 2 Zn 3.27-3.28
Sr: 0.7936 0.7539 0.0879  1 Pt 2.96, 2 Zn 3.27-3.28
Sr: 0.2944 0.7539 0.0879  1 Pt 2.96, 2 Zn 3.27-3.28
Sr: 0.7041 0.3898 0.4081  1 Zn 3.26
Sr: 0.2064 0.2461 0.9121  1 Pt 2.96, 2 Zn 3.27-3.28
Sr: 0.1977 0.1145 0.3953  1 Pt 3.03, 1 Zn 3.29
Pt: 0.0000 0.0000 0.0000  6 Sr 2.96-3.03
Zn: 0.9111 0.5432 0.8222  1 Zn 2.73
Zn: 0.0889 0.4568 0.1778  1 Zn 2.73

# 9
Entry from Alexandria: a relaxed SrZnPt crystal (GGA-PBE).

- DOS(E_F): 0.6 states/eV/cell
- V: 72.47 Å³/cell
- Formation energy from the elements: -0.717 eV per atom
- ρ: 7.98 Mg/m³

abc: 4.4015 4.4015 4.3192
angles: 90.00 90.00 120.00
Last column: nearest neighbours and their distance in Å.
Fractional positions:
Sr: 0.3333 0.6667 0.3333  6 Pt 3.33-3.34, 6 Zn 3.33-3.34
Pt: 0.0000 0.0000 0.8330  3 Zn 2.54
Zn: 0.6667 0.3333 0.8335  3 Pt 2.54

# 10
Entry from Alexandria: a relaxed Sr2Zn2Pt crystal (GGA-PBE).

- DOS(E_F): 6.3 states/eV/cell
- V: 263.33 Å³/cell
- Formation energy from the elements: -0.526 eV per atom
- ρ: 6.32 Mg/m³

abc: 4.4030 6.1375 10.7183
angles: 90.40 101.91 111.12
Last column: nearest neighbours and their distance in Å.
Fractional positions:
Sr: 0.0737 0.2699 0.8776  6 Zn 3.19-3.46, 2 Pt 3.21
Sr: 0.3393 0.3394 0.3382  3 Pt 3.25-3.34, 7 Zn 3.31-3.60
Sr: 0.9263 0.7301 0.1224  6 Zn 3.19-3.46, 2 Pt 3.21
Sr: 0.6607 0.6606 0.6618  3 Pt 3.25-3.34, 7 Zn 3.31-3.60
Zn: 0.6235 0.1315 0.1142  1 Pt 2.64, 1 Zn 2.71
Zn: 0.1300 0.8134 0.4460  3 Pt 2.62-2.70
Zn: 0.3765 0.8685 0.8858  1 Pt 2.64, 1 Zn 2.71
Zn: 0.8700 0.1866 0.5540  3 Pt 2.62-2.70
Pt: 0.6250 0.9203 0.3283  4 Zn 2.62-2.70
Pt: 0.3750 0.0797 0.6717  4 Zn 2.62-2.70

# 11
Entry from Alexandria: a relaxed SrZnPt2 crystal (GGA-PBE).

- DOS(E_F): 1.4 states/eV/cell
- V: 76.96 Å³/cell
- Formation energy from the elements: -0.491 eV per atom
- ρ: 11.72 Mg/m³

abc: 3.2902 3.2902 7.1096
angles: 90.00 90.00 90.00
Last column: nearest neighbours and their distance in Å.
Fractional positions:
Sr: 0.5000 0.5000 0.2500  8 Pt 3.17, 4 Sr 3.29
Pt: 0.0000 0.0000 0.9471  4 Zn 2.72, 1 Pt 2.80
Pt: 0.0000 0.0000 0.5529  4 Zn 2.72, 1 Pt 2.80
Zn: 0.5000 0.5000 0.7500  8 Pt 2.72

# 12
Entry from Alexandria: a relaxed Sr4ZnPt crystal (GGA-PBE).

- DOS(E_F): 9.4 states/eV/cell
- V: 475.51 Å³/cell
- Formation energy from the elements: -0.320 eV per atom
- ρ: 4.27 Mg/m³

abc: 7.5963 7.8416 9.3526
angles: 70.86 66.10 89.97
Last column: nearest neighbours and their distance in Å.
Fractional positions:
Pt: 0.0000 0.0000 0.5000  6 Sr 2.86-3.18
Pt: 0.5000 0.5000 0.5000  6 Sr 2.86-3.18
Sr: 0.8962 0.3635 0.3187  2 Pt 3.09-3.18
Sr: 0.2163 0.1367 0.6806  2 Pt 3.09-3.18
Sr: 0.1038 0.6365 0.6813  2 Pt 3.09-3.18
Sr: 0.3301 0.0027 0.2069  1 Pt 2.86
Sr: 0.6699 0.9973 0.7931  1 Pt 2.86
Sr: 0.5389 0.4977 0.7925  1 Pt 2.86
Sr: 0.7837 0.8633 0.3194  2 Pt 3.09-3.18
Sr: 0.4611 0.5023 0.2075  1 Pt 2.86
Zn: 0.2240 0.7500 0.9994  6 Sr 3.34-3.51
Zn: 0.7760 0.2500 0.0006  6 Sr 3.34-3.51

# 13
Entry from Alexandria: a relaxed SrZn2Pt2 crystal (GGA-PBE).

- DOS(E_F): 3.7 states/eV/cell
- V: 178.96 Å³/cell
- Formation energy from the elements: -0.571 eV per atom
- ρ: 11.29 Mg/m³

abc: 7.7930 7.7930 2.9468
angles: 90.00 90.00 90.00
Last column: nearest neighbours and their distance in Å.
Fractional positions:
Pt: 0.1757 0.6757 0.5000  6 Zn 2.71-2.76, 2 Pt 2.95
Pt: 0.3243 0.1757 0.5000  6 Zn 2.71-2.76, 2 Pt 2.95
Pt: 0.8243 0.3243 0.5000  6 Zn 2.71-2.76, 2 Pt 2.95
Pt: 0.6757 0.8243 0.5000  6 Zn 2.71-2.76, 2 Pt 2.95
Zn: 0.1184 0.3816 0.0000  1 Zn 2.61, 6 Pt 2.71-2.76
Zn: 0.3816 0.8816 0.0000  1 Zn 2.61, 6 Pt 2.71-2.76
Zn: 0.6184 0.1184 0.0000  1 Zn 2.61, 6 Pt 2.71-2.76
Zn: 0.8816 0.6184 0.0000  1 Zn 2.61, 6 Pt 2.71-2.76
Sr: 0.5000 0.5000 0.0000  2 Sr 2.95, 4 Zn 3.11, 8 Pt 3.23
Sr: 0.0000 0.0000 0.0000  2 Sr 2.95, 4 Zn 3.11, 8 Pt 3.23

# 14
Entry from Alexandria: a relaxed SrZn11Pt crystal (GGA-PBE).

- DOS(E_F): 5.9 states/eV/cell
- V: 216.85 Å³/cell
- Formation energy from the elements: -0.219 eV per atom
- ρ: 7.67 Mg/m³

abc: 5.2300 6.9431 6.9912
angles: 81.62 68.04 67.08
Last column: nearest neighbours and their distance in Å.
Fractional positions:
Zn: 0.0000 0.0000 0.5000  10 Zn 2.61-2.82
Zn: 0.4979 0.7748 0.2295  8 Zn 2.61-2.92, 1 Pt 2.66
Zn: 0.0000 0.5000 0.0000  2 Pt 2.61, 8 Zn 2.64-2.83
Zn: 0.5021 0.2252 0.7705  8 Zn 2.61-2.92, 1 Pt 2.66
Zn: 0.9839 0.3585 0.6469  8 Zn 2.63-2.92, 1 Pt 2.75
Zn: 0.2726 0.2252 0.2295  8 Zn 2.61-2.92, 1 Pt 2.66
Zn: 0.0161 0.6415 0.3531  8 Zn 2.63-2.92, 1 Pt 2.75
Zn: 0.7274 0.7748 0.7705  8 Zn 2.61-2.92, 1 Pt 2.66
Zn: 0.3693 0.6415 0.6469  8 Zn 2.63-2.92, 1 Pt 2.75
Zn: 0.6307 0.3585 0.3531  8 Zn 2.63-2.92, 1 Pt 2.75
Zn: 0.5000 0.0000 0.5000  10 Zn 2.61-2.82
Sr: 0.0000 0.0000 0.0000  18 Zn 3.24-3.50, 2 Pt 3.44
Pt: 0.5000 0.5000 0.0000  10 Zn 2.61-2.75

# 15
Entry from Alexandria: a relaxed Sr2ZnPt2 crystal (GGA-PBE).

- DOS(E_F): 3.6 states/eV/cell
- V: 241.14 Å³/cell
- Formation energy from the elements: -0.791 eV per atom
- ρ: 8.69 Mg/m³

abc: 5.8693 5.8693 8.2317
angles: 78.97 78.97 60.70
Last column: nearest neighbours and their distance in Å.
Fractional positions:
Sr: 0.2135 0.4870 0.6487  6 Pt 3.16-3.29, 2 Zn 3.36-3.46
Sr: 0.5130 0.7865 0.8513  6 Pt 3.16-3.29, 2 Zn 3.36-3.46
Sr: 0.4870 0.2135 0.1487  6 Pt 3.16-3.29, 2 Zn 3.36-3.46
Sr: 0.7865 0.5130 0.3513  6 Pt 3.16-3.29, 2 Zn 3.36-3.46
Pt: 0.7319 0.0038 0.5072  2 Zn 2.65-2.66, 1 Pt 2.77
Pt: 0.2681 0.9962 0.4928  2 Zn 2.65-2.66, 1 Pt 2.77
Pt: 0.9962 0.2681 0.9928  2 Zn 2.65-2.66, 1 Pt 2.77
Pt: 0.0038 0.7319 0.0072  2 Zn 2.65-2.66, 1 Pt 2.77
Zn: 0.8941 0.1059 0.7500  4 Pt 2.65-2.66
Zn: 0.1059 0.8941 0.2500  4 Pt 2.65-2.66

# 16
Entry from Alexandria: a relaxed Sr2Zn2Pt crystal (GGA-PBE).

- DOS(E_F): 6.6 states/eV/cell
- V: 248.26 Å³/cell
- Formation energy from the elements: -0.325 eV per atom
- ρ: 6.70 Mg/m³

abc: 7.1299 7.1299 4.8836
angles: 90.00 90.00 90.00
Last column: nearest neighbours and their distance in Å.
Fractional positions:
Zn: 0.8722 0.6278 0.0000  1 Zn 2.58, 2 Pt 2.81
Zn: 0.3722 0.8722 0.0000  1 Zn 2.58, 2 Pt 2.81
Zn: 0.6278 0.1278 0.0000  1 Zn 2.58, 2 Pt 2.81
Zn: 0.1278 0.3722 0.0000  1 Zn 2.58, 2 Pt 2.81
Pt: 0.5000 0.5000 0.0000  4 Zn 2.81
Pt: 0.0000 0.0000 0.0000  4 Zn 2.81
Sr: 0.3139 0.1861 0.5000  6 Zn 3.08-3.34
Sr: 0.1861 0.6861 0.5000  6 Zn 3.08-3.34
Sr: 0.8139 0.3139 0.5000  6 Zn 3.08-3.34
Sr: 0.6861 0.8139 0.5000  6 Zn 3.08-3.34

# 17
Entry from Alexandria: a relaxed Sr2Zn5Pt5 crystal (GGA-PBE).

- DOS(E_F): 4.0 states/eV/cell
- V: 226.15 Å³/cell
- Formation energy from the elements: -0.638 eV per atom
- ρ: 10.85 Mg/m³

abc: 4.2325 5.4909 9.7310
angles: 90.00 90.00 90.00
Last column: nearest neighbours and their distance in Å.
Fractional positions:
Pt: 0.0000 0.0000 0.1814  4 Zn 2.60, 2 Pt 2.76
Pt: 0.0000 0.0000 0.8186  4 Zn 2.60, 2 Pt 2.76
Pt: 0.0000 0.5000 0.3318  6 Zn 2.66-2.68
Pt: 0.5000 0.0000 0.0000  4 Pt 2.76, 4 Zn 2.77
Pt: 0.0000 0.5000 0.6682  6 Zn 2.66-2.68
Zn: 0.5000 0.2493 0.7529  5 Pt 2.60-2.77, 3 Zn 2.74-2.82
Zn: 0.5000 0.7507 0.7529  5 Pt 2.60-2.77, 3 Zn 2.74-2.82
Zn: 0.5000 0.5000 0.5000  4 Pt 2.68, 4 Zn 2.82
Zn: 0.5000 0.7507 0.2471  5 Pt 2.60-2.77, 3 Zn 2.74-2.82
Zn: 0.5000 0.2493 0.2471  5 Pt 2.60-2.77, 3 Zn 2.74-2.82
Sr: 0.0000 0.5000 0.0000  10 Pt 3.23-3.47, 8 Zn 3.49
Sr: 0.0000 0.0000 0.5000  6 Pt 3.10-3.20, 4 Zn 3.47

# 18
Entry from Alexandria: a relaxed SrZnPt crystal (GGA-PBE).

- DOS(E_F): 2.3 states/eV/cell
- V: 141.90 Å³/cell
- Formation energy from the elements: -0.689 eV per atom
- ρ: 8.15 Mg/m³

abc: 4.3138 6.3784 5.9742
angles: 73.72 68.84 70.24
Last column: nearest neighbours and their distance in Å.
Fractional positions:
Pt: 0.8511 0.1941 0.1037  3 Zn 2.59-2.63, 1 Pt 2.78
Pt: 0.1489 0.8059 0.8963  3 Zn 2.59-2.63, 1 Pt 2.78
Sr: 0.4348 0.8095 0.3209  5 Pt 3.20-3.23, 6 Zn 3.32-3.55
Sr: 0.5652 0.1905 0.6791  5 Pt 3.20-3.23, 6 Zn 3.32-3.55
Zn: 0.7970 0.5925 0.8134  3 Pt 2.59-2.63
Zn: 0.2030 0.4075 0.1866  3 Pt 2.59-2.63

# 19
Entry from Alexandria: a relaxed SrZnPt2 crystal (GGA-PBE).

- DOS(E_F): 1.2 states/eV/cell
- V: 77.00 Å³/cell
- Formation energy from the elements: -0.352 eV per atom
- ρ: 11.71 Mg/m³

abc: 5.3886 5.3886 5.3886
angles: 135.03 135.03 65.49
Last column: nearest neighbours and their distance in Å.
Fractional positions:
Sr: 0.5000 0.5000 0.0000  8 Pt 2.91-3.06, 4 Zn 3.06
Pt: 0.2500 0.7500 0.5000  4 Zn 2.91, 4 Pt 3.06, 4 Sr 3.06
Pt: 0.0000 0.0000 0.0000  4 Sr 2.91, 4 Pt 3.06, 4 Zn 3.06
Zn: 0.7500 0.2500 0.5000  8 Pt 2.91-3.06, 4 Sr 3.06

# 20
Entry from Alexandria: a relaxed SrZnPt2 crystal (GGA-PBE).

- DOS(E_F): 1.1 states/eV/cell
- V: 83.64 Å³/cell
- Formation energy from the elements: -0.424 eV per atom
- ρ: 10.78 Mg/m³

abc: 4.2755 3.0577 6.3978
angles: 89.82 90.00 90.00
Last column: nearest neighbours and their distance in Å.
Fractional positions:
Pt: 0.5000 0.1244 0.2269  2 Zn 2.63
Pt: 0.0000 0.1260 0.9091  4 Zn 2.63
Sr: 0.0000 0.6227 0.4721  2 Sr 3.06, 6 Pt 3.06-3.20
Zn: 0.5000 0.6270 0.8919  6 Pt 2.63